The following is a DFT calculation (PBE+U) of InFeN2O after structural relaxation.

a = 4.2143 Å, b = 4.2143 Å, c = 4.1521 Å
α = 90.00°, β = 90.00°, γ = 90.00°
Last column: magnetic moment on the atom in μB.
Positions (direct):
N: 0.0000 0.5000 0.0000  0.84
N: 0.5000 0.0000 0.0000  0.84
Fe: 0.5000 0.5000 0.5000  3.67
O: 0.0000 0.0000 0.5000  0.40
In: 0.0000 0.0000 0.0000  0.01

## Properties
**V**: 74 Å³ per cell
**E_tot**: -4.632 eV per atom